Compound: CsMnB3
Source: Alexandria via LeMat-Bulk
Functional: PBE
Structure: relaxed

Crystal system = cubic
E above lowest polymorph = 2757.8 meV per atom
Total energy = -10.2 eV per cell
Space group = Pm-3m
DFT formation energy = 3.96 eV per atom

a = 4.689 Å, b = 4.689 Å, c = 4.689 Å
α = 90.00°, β = 90.00°, γ = 90.00°
Last column: magnetic moment on the atom in μB.
Fractional coordinates of all 5 atoms:
1 Cs 0.000 0.000 0.000  0.05
2 B 0.000 0.500 0.000  0.05
3 B 0.000 0.000 0.500  -0.02
4 B 0.500 0.000 0.000  0.10
5 Mn 0.500 0.500 0.500  -0.49